1.
# Tb2Nd5Ir4

A geometry-optimized Tb2Nd5Ir4 structure (PBE-GGA, Alexandria via LeMat-Bulk).

a b c (Å): 11.9839 11.9839 7.1738
angles (deg): 106.72 106.72 18.71
With the nearest neighbours (Å) after each atom.
Atoms (fractional coordinates):
Tb1 0.2362 0.2362 0.2704  6 Nd 3.60-3.75, 4 Tb 3.72-3.90, 1 Ir 3.98
Tb2 0.7638 0.7638 0.7296  6 Nd 3.60-3.75, 4 Tb 3.72-3.90, 1 Ir 3.98
Nd1 0.0000 0.0000 0.5000  4 Ir 2.99
Nd2 0.3706 0.3706 0.0936  3 Ir 2.85-2.98
Nd3 0.3799 0.3799 0.6246  3 Ir 2.86-2.97
Nd4 0.6201 0.6201 0.3754  3 Ir 2.86-2.97
Nd5 0.6294 0.6294 0.9064  3 Ir 2.85-2.98
Ir1 0.0606 0.0606 0.0691  5 Ir 2.72-2.75, 4 Nd 2.97-2.98
Ir2 0.4960 0.4960 0.1806  5 Ir 2.65-2.73, 2 Nd 2.85-2.86
Ir3 0.5040 0.5040 0.8194  5 Ir 2.65-2.73, 2 Nd 2.85-2.86
Ir4 0.9394 0.9394 0.9309  5 Ir 2.72-2.75, 4 Nd 2.97-2.98

Values from the calculation:
Its total magnetization is 0.0 μB/cell. Its total energy is -6.3911 eV/atom. The formation energy is -0.160 eV per atom.

2.
# Tb3NdIr2

A geometry-optimized Tb3NdIr2 structure (PBE-GGA, Alexandria via LeMat-Bulk).

a b c (Å): 7.7310 7.7310 8.3877
angles (deg): 95.22 95.22 37.81
With the nearest neighbours (Å) after each atom.
Atoms (fractional coordinates):
Tb1 0.0661 0.0661 0.3344  3 Ir 2.82-2.91
Tb2 0.3256 0.3256 0.4779  2 Ir 2.86-2.88
Tb3 0.3856 0.3856 0.9300  4 Ir 2.83-3.04
Tb4 0.6144 0.6144 0.0700  4 Ir 2.83-3.04
Tb5 0.6744 0.6744 0.5221  2 Ir 2.86-2.88
Tb6 0.9339 0.9339 0.6656  3 Ir 2.82-2.91
Nd1 0.1566 0.1566 0.8092  5 Ir 3.05-3.14, 2 Tb 3.36-3.41
Nd2 0.8434 0.8434 0.1908  5 Ir 3.05-3.14, 2 Tb 3.36-3.41
Ir1 0.2242 0.2242 0.1664  4 Tb 2.82-3.04, 3 Nd 3.05-3.06
Ir2 0.4689 0.4689 0.2692  5 Tb 2.83-2.99, 2 Nd 3.14
Ir3 0.5311 0.5311 0.7308  5 Tb 2.83-2.99, 2 Nd 3.14
Ir4 0.7758 0.7758 0.8336  4 Tb 2.82-3.04, 3 Nd 3.05-3.06

Values from the calculation:
Its total magnetization is 0.0 μB/cell. Its total energy is -6.5980 eV/atom. The formation energy is -0.535 eV per atom.

3.
# TbNdIr4

A geometry-optimized TbNdIr4 structure (PBE-GGA, Alexandria via LeMat-Bulk).

a b c (Å): 5.4065 5.4065 5.4065
angles (deg): 60.00 60.00 60.00
With the nearest neighbours (Å) after each atom.
Atoms (fractional coordinates):
Tb1 0.0000 0.0000 0.0000  12 Ir 3.17, 4 Nd 3.31
Nd1 0.2500 0.2500 0.2500  12 Ir 3.17, 4 Tb 3.31
Ir1 0.1245 0.6252 0.6252  6 Ir 2.70-2.71
Ir2 0.6252 0.1245 0.6252  6 Ir 2.70-2.71
Ir3 0.6252 0.6252 0.1245  6 Ir 2.70-2.71
Ir4 0.6252 0.6252 0.6252  6 Ir 2.70-2.71

Values from the calculation:
Its total magnetization is 0.0 μB/cell. Its total energy is -8.2173 eV/atom. The formation energy is -0.744 eV per atom.

4.
# Tb2NdIr

A geometry-optimized Tb2NdIr structure (PBE-GGA, Alexandria via LeMat-Bulk).

a b c (Å): 9.2323 9.2323 9.2323
angles (deg): 25.12 25.12 25.12
With the nearest neighbours (Å) after each atom.
Atoms (fractional coordinates):
Tb1 0.0000 0.0000 0.0000  3 Ir 2.76
Tb2 0.2216 0.2216 0.2216  3 Ir 2.76
Nd1 0.4465 0.4465 0.4465  6 Tb 3.72-3.82, 6 Nd 4.02
Ir1 0.6108 0.6108 0.6108  6 Tb 2.76

Values from the calculation:
Its total magnetization is 0.0 μB/cell. Its total energy is -6.0799 eV/atom. The formation energy is -0.358 eV per atom. The energy above the most stable polymorph in this dataset comes out at 64.8 kJ/mol of formula units.

5.
# Tb8NdIr6

A geometry-optimized Tb8NdIr6 structure (PBE-GGA, Alexandria via LeMat-Bulk).

a b c (Å): 7.7190 7.7190 7.7190
angles (deg): 65.56 65.56 65.56
With the nearest neighbours (Å) after each atom.
Atoms (fractional coordinates):
Tb1 0.0495 0.7238 0.3901  5 Ir 2.91-3.07
Tb2 0.1655 0.1655 0.1655  6 Ir 2.96-2.97
Tb3 0.2762 0.6099 0.9505  5 Ir 2.91-3.07
Tb4 0.3901 0.0495 0.7238  5 Ir 2.91-3.07
Tb5 0.6099 0.9505 0.2762  5 Ir 2.91-3.07
Tb6 0.7238 0.3901 0.0495  5 Ir 2.91-3.07
Tb7 0.8345 0.8345 0.8345  6 Ir 2.96-2.97
Tb8 0.9505 0.2762 0.6099  5 Ir 2.91-3.07
Nd1 0.5000 0.5000 0.5000  6 Ir 2.99
Ir1 0.1069 0.4420 0.7784  7 Tb 2.91-3.07, 1 Nd 2.99
Ir2 0.2216 0.8931 0.5580  7 Tb 2.91-3.07, 1 Nd 2.99
Ir3 0.4420 0.7784 0.1069  7 Tb 2.91-3.07, 1 Nd 2.99
Ir4 0.5580 0.2216 0.8931  7 Tb 2.91-3.07, 1 Nd 2.99
Ir5 0.7784 0.1069 0.4420  7 Tb 2.91-3.07, 1 Nd 2.99
Ir6 0.8931 0.5580 0.2216  7 Tb 2.91-3.07, 1 Nd 2.99

Values from the calculation:
Its total magnetization is 0.0 μB/cell. Its total energy is -7.0676 eV/atom. The formation energy is -0.736 eV per atom.

6.
# Tb2NdIr

A geometry-optimized Tb2NdIr structure (PBE-GGA, Alexandria via LeMat-Bulk).

a b c (Å): 10.8131 10.8131 10.8131
angles (deg): 20.36 20.36 20.36
With the nearest neighbours (Å) after each atom.
Atoms (fractional coordinates):
Tb1 0.1154 0.1154 0.1154  3 Ir 2.74
Tb2 0.8846 0.8846 0.8846  3 Ir 2.74
Nd1 0.0000 0.0000 0.0000  2 Tb 3.67, 6 Nd 3.82
Ir1 0.5000 0.5000 0.5000  6 Tb 2.74

Values from the calculation:
Its total magnetization is 0.0 μB/cell. Its total energy is -5.8930 eV/atom. The formation energy is -0.171 eV per atom. The energy above the most stable polymorph in this dataset comes out at 137.0 kJ/mol of formula units.